Crystalline Pr2ErTm8 at its relaxed geometry. Source: the Alexandria database, functional GGA-PBE.

abc: 18.0211 4.9912 7.8957
angles: 90.00 105.17 90.00
Closest atoms and distances in Å follow each position.
Space group C2/m (No. 12)
Unique sites:
Pr 0.2267 0.0000 0.1377 (multiplicity 4)  10 Tm 3.52-3.59, 2 Pr 3.55
Er 0.0000 0.5000 0.5000 (multiplicity 2)  12 Tm 3.50-3.52
Tm 0.0440 0.0000 0.2278 (multiplicity 4)  9 Tm 3.49-3.54, 2 Er 3.52, 1 Pr 3.55
Tm 0.0889 0.5000 0.9528 (multiplicity 4)  8 Tm 3.48-3.55, 1 Er 3.51, 3 Pr 3.55-3.58
Tm 0.1345 0.0000 0.6765 (multiplicity 4)  7 Tm 3.49-3.57, 2 Er 3.50, 3 Pr 3.56-3.59
Tm 0.1805 0.5000 0.4077 (multiplicity 4)  8 Tm 3.51-3.57, 1 Er 3.51, 3 Pr 3.52-3.54

The density of states at the Fermi level is 30.245 states/eV per cell. The total energy comes out at -99.1 eV for the cell shown. The volume comes out at 685 Å³/cell.

***

Crystalline TlAuSe3 at its relaxed geometry. Source: the Alexandria database, functional GGA-PBE.

abc: 5.3801 7.9667 7.3229
angles: 90.00 97.28 90.00
Closest atoms and distances in Å follow each position.
Space group P2_1/m (No. 11)
Unique sites:
Tl 0.1113 0.2500 0.1367 (multiplicity 2)  3 Se 3.14-3.21, 2 Au 3.14
Au 0.5000 0.0000 0.0000 (multiplicity 2)  2 Se 2.46
Se 0.2723 0.5098 0.6862 (multiplicity 4)  1 Se 2.46, 1 Au 2.46
Se 0.4504 0.7500 0.5363 (multiplicity 2)  2 Se 2.46

The total energy comes out at -33.7 eV for the cell shown. The volume comes out at 311 Å³/cell.

***

Crystalline Pd3Pb2Au2 at its relaxed geometry. Source: the Alexandria database, functional GGA-PBE.

abc: 8.1812 4.7232 7.6130
angles: 90.00 110.89 90.00
Closest atoms and distances in Å follow each position.
Space group C2/m (No. 12)
Unique sites:
Pd 0.0000 0.0000 0.0000 (multiplicity 2)  2 Au 2.88, 6 Pb 3.08, 6 Pd 3.10
Pd 0.2349 0.5000 0.2062 (multiplicity 4)  4 Pb 2.73-2.90, 1 Au 2.77
Pb 0.0996 0.5000 0.7980 (multiplicity 4)  4 Pd 2.73-2.90
Au 0.1342 0.0000 0.4043 (multiplicity 4)  5 Pd 2.77-3.07, 3 Au 3.04-3.05, 3 Pb 3.08

The density of states at the Fermi level is 5.971 states/eV per cell. The total energy comes out at -60.7 eV for the cell shown. The volume comes out at 275 Å³/cell.

***

Crystalline PmPaTe2O8 at its relaxed geometry. Source: the Alexandria database, functional GGA-PBE.

abc: 7.3461 7.3461 7.2038
angles: 90.00 90.00 90.00
Closest atoms and distances in Å follow each position.
Space group I-4m2 (No. 119)
Unique sites:
Pm 0.0000 0.0000 0.0000 (multiplicity 2)  8 O 2.36-2.60
Pa 0.0000 0.5000 0.2500 (multiplicity 2)  8 O 2.25-2.45
Te 0.0000 0.0000 0.5000 (multiplicity 2)  4 O 2.04
Te 0.0000 0.5000 0.7500 (multiplicity 2)  4 O 2.04
O 0.0000 0.1971 0.3005 (multiplicity 8)  1 Te 2.04, 1 Pa 2.25
O 0.0000 0.3192 0.9650 (multiplicity 8)  1 Te 2.04

The total energy comes out at -170.2 eV for the cell shown. The volume comes out at 389 Å³/cell.

***

Crystalline ZnReSe3 at its relaxed geometry. Source: the Alexandria database, functional GGA-PBE.

abc: 4.8458 4.8458 4.8458
angles: 90.00 90.00 90.00
Closest atoms and distances in Å follow each position.
Space group Pm-3m (No. 221)
Unique sites:
Zn 0.0000 0.0000 0.0000 (multiplicity 1)  6 Se 2.42
Re 0.5000 0.5000 0.5000 (multiplicity 1)  12 Se 3.43
Se 0.0000 0.0000 0.5000 (multiplicity 3)  2 Zn 2.42

The density of states at the Fermi level is 4.356 states/eV per cell. The total energy comes out at -17.7 eV for the cell shown. The volume comes out at 114 Å³/cell.

***

Crystalline Mg3RuC at its relaxed geometry. Source: the Alexandria database, functional GGA-PBE.

abc: 4.8808 4.8808 4.8808
angles: 90.00 90.00 90.00
Closest atoms and distances in Å follow each position.
Space group Pm-3m (No. 221)
Unique sites:
Mg 0.0000 0.0000 0.5000 (multiplicity 3)  2 Ru 2.44
Ru 0.0000 0.0000 0.0000 (multiplicity 1)  6 Mg 2.44
C 0.5000 0.5000 0.5000 (multiplicity 1)  12 Mg 3.45

The density of states at the Fermi level is 4.955 states/eV per cell. The total energy comes out at -15.1 eV for the cell shown. The volume comes out at 116 Å³/cell.

***

Crystalline Ca3Tm2PuTe6 at its relaxed geometry. Source: the Alexandria database, functional GGA-PBE.

abc: 7.6311 13.2211 7.7242
angles: 90.00 109.26 90.00
Closest atoms and distances in Å follow each position.
Space group C2/m (No. 12)
Unique sites:
Ca 0.0000 0.0000 0.0000 (multiplicity 2)  6 Te 3.12-3.18
Ca 0.0000 0.3365 0.0000 (multiplicity 4)  6 Te 3.13-3.18
Tm 0.0000 0.1677 0.5000 (multiplicity 4)  6 Te 3.07-3.08
Pu 0.0000 0.5000 0.5000 (multiplicity 2)  6 Te 3.15-3.16
Te 0.2390 0.0000 0.7418 (multiplicity 4)  2 Tm 3.08, 3 Ca 3.12-3.16, 1 Pu 3.15
Te 0.2476 0.1706 0.2554 (multiplicity 8)  2 Tm 3.07-3.08, 3 Ca 3.13-3.18, 1 Pu 3.16

The density of states at the Fermi level is 36.460 states/eV per cell. The total energy comes out at -129.4 eV for the cell shown. The volume comes out at 736 Å³/cell.

***

Crystalline RbPdPb4 at its relaxed geometry. Source: the Alexandria database, functional GGA-PBE.

abc: 5.8315 8.5669 17.5582
angles: 90.00 90.00 90.00
Closest atoms and distances in Å follow each position.
Space group Immm (No. 71)
Unique sites:
Rb 0.0000 0.0000 0.1975 (multiplicity 4)  10 Pb 3.91-4.20
Pd 0.2484 0.0000 0.5000 (multiplicity 4)  8 Pb 2.89-2.90, 2 Pd 2.90-2.93
Pb 0.0000 0.2097 0.0000 (multiplicity 4)  2 Pd 2.89
Pb 0.0000 0.2100 0.4006 (multiplicity 8)  2 Pd 2.89
Pb 0.0000 0.5000 0.1424 (multiplicity 4)  2 Pd 2.90

The density of states at the Fermi level is 8.894 states/eV per cell. The total energy comes out at -89.0 eV for the cell shown. The volume comes out at 877 Å³/cell.

***

Crystalline NaGaB3 at its relaxed geometry. Source: the Alexandria database, functional GGA-PBE.

abc: 4.4628 4.4628 4.4628
angles: 90.00 90.00 90.00
Closest atoms and distances in Å follow each position.
Space group Pm-3m (No. 221)
Unique sites:
Na 0.0000 0.0000 0.0000 (multiplicity 1)  6 B 2.23
Ga 0.5000 0.5000 0.5000 (multiplicity 1)  12 B 3.16
B 0.0000 0.0000 0.5000 (multiplicity 3)  2 Na 2.23

The density of states at the Fermi level is 2.376 states/eV per cell. The total energy comes out at -11.0 eV for the cell shown. The volume comes out at 89 Å³/cell.

***

Crystalline DyCu2As2 at its relaxed geometry. Source: the Alexandria database, functional GGA-PBE.

abc: 8.6925 9.9209 5.9680
angles: 90.00 131.62 90.00
Closest atoms and distances in Å follow each position.
Space group C2/c (No. 15)
Unique sites:
Dy 0.0000 0.1317 0.2500 (multiplicity 4)  4 As 2.82-2.99
Cu 0.1500 0.3618 0.0398 (multiplicity 8)  4 As 2.40-2.48, 1 Cu 2.60
As 0.0000 0.1524 0.7500 (multiplicity 4)  4 Cu 2.40-2.45
As 0.0000 0.4253 0.2500 (multiplicity 4)  4 Cu 2.42-2.48

The density of states at the Fermi level is 6.680 states/eV per cell. The total energy comes out at -97.9 eV for the cell shown. The volume comes out at 385 Å³/cell.

***

Crystalline MgRe4Sb2 at its relaxed geometry. Source: the Alexandria database, functional GGA-PBE.

abc: 4.5174 4.5174 13.3096
angles: 90.00 90.00 90.00
Closest atoms and distances in Å follow each position.
Space group I4/mmm (No. 139)
Unique sites:
Mg 0.0000 0.0000 0.0000 (multiplicity 2)  6 Re 2.26-2.44
Re 0.0000 0.0000 0.1837 (multiplicity 4)  1 Mg 2.44, 1 Sb 2.55
Re 0.0000 0.5000 0.0000 (multiplicity 4)  2 Mg 2.26
Sb 0.0000 0.0000 0.3750 (multiplicity 4)  5 Re 2.55-2.81

The density of states at the Fermi level is 10.662 states/eV per cell. The total energy comes out at -93.9 eV for the cell shown. The volume comes out at 272 Å³/cell.

***

Crystalline Rb2LaPuO4 at its relaxed geometry. Source: the Alexandria database, functional GGA-PBE.

abc: 6.3892 3.6788 6.9194
angles: 90.00 107.99 90.00
Closest atoms and distances in Å follow each position.
Space group P2/m (No. 10)
Unique sites:
Rb 0.0000 0.0000 0.0000 (multiplicity 1)  6 O 3.03
Rb 0.5000 0.5000 0.0000 (multiplicity 1)  6 O 2.97
La 0.0000 0.5000 0.5000 (multiplicity 1)  6 O 2.45-2.48
Pu 0.5000 0.0000 0.5000 (multiplicity 1)  6 O 2.39
O 0.2345 0.0000 0.6800 (multiplicity 2)  1 Pu 2.39, 2 La 2.45
O 0.2846 0.5000 0.3233 (multiplicity 2)  2 Pu 2.39, 1 La 2.48

The density of states at the Fermi level is 5.582 states/eV per cell. The total energy comes out at -60.6 eV for the cell shown. The volume comes out at 155 Å³/cell.